Entry 1:
Ta3TiI: optimized geometry, PBE.

```
Ta3TiI
1.0
-3.005 -3.404 -1.662
0.299 -2.328 4.228
-3.776 2.525 1.657
I Ti Ta
1 1 3
Cartesian
-3.241 -1.604 2.111
0.000 0.000 0.000
0.149 -1.164 2.114
-1.888 1.262 0.829
-1.503 -1.702 -0.831
```

Computed properties:
The spin magnetization is 0.0 μB/f.u. The space group is No. 221. For the uncorrected formation energy, the calculation gives 1585 meV per atom. The energy above the lowest structure with this stoichiometry comes out at 0.00 eV/f.u.

Entry 2:
TbBeGa2Pd4: optimized geometry, PBE.

```
TbBeGa2Pd4
1.0
4.295 0.000 0.000
2.147 3.719 0.000
2.147 1.240 8.164
Tb Be Ga Pd
1 1 2 4
Cartesian
0.000 0.000 0.000
4.295 2.480 4.082
6.442 3.719 5.970
2.147 1.240 2.194
4.295 2.480 6.387
6.442 3.719 3.322
2.147 1.240 4.842
4.295 2.480 1.777
```

Computed properties:
The spin magnetization is 0.0 μB/f.u. The space group is No. 166. The calculation puts the total DFT energy (no corrections) at -5.0957 eV per atom.

Entry 3:
AcMg9Cd3: optimized geometry, PBE.

```
AcMg9Cd3
1.0
-5.939 -0.751 0.403
-2.899 -3.841 -6.127
-1.946 -6.629 3.638
Ac Mg Cd
1 9 3
Cartesian
0.000 0.000 0.000
-8.039 -8.730 -1.674
-2.744 -2.490 -0.412
-5.138 -6.388 1.725
-5.646 -4.833 -3.810
-5.561 -4.187 -0.599
-5.223 -7.033 -1.486
-8.490 -5.591 -2.283
-2.293 -5.629 0.197
-1.449 -1.920 -3.063
-4.419 -2.296 -2.862
-0.973 -3.314 1.819
-3.943 -3.690 2.021
```

Computed properties:
The spin magnetization is 0.0 μB/f.u. The space group is No. 12. The calculation puts the total DFT energy (no corrections) at -1.7721 eV per atom.

Entry 4:
CoSiSe: optimized geometry, PBE.

```
CoSiSe
1.0
4.089 0.000 0.000
2.045 3.541 0.000
2.045 1.180 3.339
Co Se Si
1 1 1
Cartesian
0.000 0.000 0.000
4.089 2.361 1.669
6.134 3.541 2.504
```

Computed properties:
The spin magnetization is 0.0 μB/f.u. The space group is No. 216. For the uncorrected formation energy, the calculation gives 468 meV per atom.

Entry 5:
Mg6Ag12Pd: optimized geometry, PBE.

```
Mg6Ag12Pd
1.0
7.024 0.494 0.592
-0.577 7.017 0.592
-0.577 -0.672 7.010
Mg Ag Pd
6 12 1
Cartesian
4.418 6.384 2.773
4.971 2.232 1.417
0.230 5.065 2.449
1.453 0.456 5.421
0.899 4.607 6.776
5.640 1.775 5.744
5.043 3.813 3.888
2.343 5.462 4.447
3.005 2.831 6.168
0.827 3.026 4.305
3.527 1.378 3.746
2.865 4.008 2.025
-0.035 0.846 2.715
5.029 4.184 7.616
3.374 6.492 6.876
5.905 5.994 5.478
0.841 2.655 0.577
2.497 0.348 1.317
0.000 0.000 0.000
```

Computed properties:
The spin magnetization is 0.0 μB/f.u. The space group is No. 148. The calculation puts the total DFT energy (no corrections) at -2.7344 eV per atom.

Entry 6:
CaHfReHg2: optimized geometry, PBE.

```
CaHfReHg2
1.0
5.380 0.000 0.000
0.000 4.831 0.000
0.000 0.000 5.380
Re Ca Hf Hg
1 1 1 2
Cartesian
0.000 0.000 0.000
2.690 2.415 2.690
0.000 2.415 0.000
0.000 0.000 2.690
2.690 0.000 0.000
```

Computed properties:
The spin magnetization is 0.0 μB/f.u. The space group is No. 123. The calculation puts the total DFT energy (no corrections) at -4.5432 eV per atom.

Entry 7:
Er5NiRu: optimized geometry, PBE.

```
Er5NiRu
1.0
6.606 -2.061 3.425
-2.859 6.302 3.425
0.169 0.191 10.182
Er Ni Ru
10 2 2
Cartesian
4.806 -1.304 5.763
5.993 -1.179 10.013
2.931 0.523 10.854
-0.631 2.701 9.349
1.177 2.906 12.110
2.739 1.525 4.922
4.547 1.731 7.683
0.985 3.909 6.178
-2.077 5.611 7.019
-0.890 5.736 11.269
0.000 0.000 0.000
1.958 2.216 8.516
3.917 2.458 12.774
-0.001 1.974 4.258
```

Computed properties:
The spin magnetization is 0.0 μB/f.u. The space group is No. 15. The calculation puts the total DFT energy (no corrections) at -5.5748 eV per atom.

Entry 8:
Ag2As2Ir: optimized geometry, PBE.

```
Ag2As2Ir
1.0
6.236 0.000 0.000
0.000 6.236 0.000
0.000 0.000 4.933
As Ir Ag
4 2 4
Cartesian
2.260 5.378 0.000
5.378 3.977 0.000
3.977 0.859 0.000
0.859 2.260 0.000
0.000 0.000 0.000
3.118 3.118 0.000
1.568 4.686 2.467
4.686 4.669 2.467
4.669 1.550 2.467
1.550 1.568 2.467
```

Computed properties:
The spin magnetization is 0.0 μB/f.u. The space group is No. 127. The energy above the lowest structure with this stoichiometry comes out at 0.00 eV/f.u.

Entry 9:
Na6UCl12: optimized geometry, PBE.

```
Na6UCl12
1.0
8.262 0.139 0.167
-1.115 8.188 0.167
-1.115 -1.299 8.086
Na U Cl
6 1 12
Cartesian
3.624 6.387 3.365
4.437 3.117 1.535
0.269 4.530 3.341
2.408 0.642 5.054
1.595 3.911 6.885
5.763 2.498 5.079
0.000 0.000 0.000
5.768 4.657 3.398
1.608 6.082 5.189
3.729 2.199 6.911
0.265 2.371 5.022
4.425 0.947 3.230
2.304 4.830 1.509
-0.711 7.595 2.531
-1.582 4.618 7.526
4.804 7.559 0.495
6.744 -0.567 5.888
7.615 2.410 0.894
1.228 -0.531 7.925
```

Computed properties:
The spin magnetization is 0.0 μB/f.u. The space group is No. 148. For the uncorrected formation energy, the calculation gives -1620 meV per atom.

Entry 10:
PrHo2Hg: optimized geometry, PBE.

```
PrHo2Hg
1.0
3.663 0.000 0.000
1.832 3.173 0.000
1.832 1.058 10.591
Pr Ho Hg
1 2 1
Cartesian
3.663 2.115 5.293
1.832 1.058 8.251
1.832 1.058 2.337
3.663 2.115 0.005
```

Computed properties:
The spin magnetization is 0.0 μB/f.u. The space group is No. 160. The energy above the lowest structure with this stoichiometry comes out at 0.34 eV/f.u.

Entry 11:
PmNdGa4: optimized geometry, PBE.

```
PmNdGa4
1.0
4.075 0.000 -1.258
-0.389 4.057 -1.258
0.244 0.268 8.018
Pm Nd Ga
1 1 4
Cartesian
0.000 0.000 0.000
0.849 3.177 2.751
2.734 0.766 1.625
2.189 2.409 -0.139
3.429 1.531 3.876
1.742 1.916 5.640
```

Computed properties:
The spin magnetization is 0.0 μB/f.u. The space group is No. 119. The energy above the lowest structure with this stoichiometry comes out at 0.07 eV/f.u.

Entry 12:
Be2SbBr: optimized geometry, PBE.

```
Be2SbBr
1.0
3.722 0.000 0.000
0.000 6.676 0.000
0.000 0.000 3.363
Sb Br Be
1 1 2
Cartesian
0.000 3.338 1.681
1.861 0.000 1.681
0.000 0.000 0.000
1.861 3.338 0.000
```

Computed properties:
The spin magnetization is 0.0 μB/f.u. The space group is No. 47. For the uncorrected formation energy, the calculation gives 631 meV per atom. The energy above the lowest structure with this stoichiometry comes out at 2.68 eV/f.u.

Entry 13:
TlCdPb3: optimized geometry, PBE.

```
TlCdPb3
1.0
-2.397 0.246 2.635
-7.502 -7.413 -1.212
5.538 -3.878 5.431
Tl Cd Pb
2 2 6
Cartesian
-0.929 -5.217 2.683
-3.371 -7.935 3.144
-0.031 -5.674 5.953
-6.668 -7.230 2.514
2.018 -3.248 5.145
-1.216 -2.245 4.532
-2.227 -8.046 6.627
-2.274 -2.241 1.144
-2.032 -10.907 4.689
-4.474 -4.857 1.841
```

Computed properties:
The spin magnetization is 0.0 μB/f.u. The space group is No. 2. The energy above the lowest structure with this stoichiometry comes out at 0.00 eV/f.u.

Entry 14:
Zn3In12Ga5: optimized geometry, PBE.

```
Zn3In12Ga5
1.0
-12.012 1.408 7.173
-2.691 -5.670 -12.583
8.766 -8.367 7.133
Zn Ga In
12 20 48
Cartesian
-8.923 -2.116 1.553
-11.434 -4.067 -2.269
-1.045 -8.954 -2.289
-0.052 -3.494 2.895
-8.656 -1.569 6.487
-3.995 -5.108 -3.391
-1.943 -7.522 5.114
2.718 -11.061 -4.764
-5.886 -9.135 -1.172
-4.893 -3.675 4.012
5.496 -8.563 3.993
2.985 -10.513 0.171
-0.319 -4.042 -2.039
-1.346 -2.835 -6.292
0.000 0.000 0.000
-4.082 -1.935 0.436
-1.623 -3.480 7.153
-7.352 -2.131 -2.705
-0.233 -7.214 -5.866
-1.676 -6.974 10.048
-7.404 -5.626 0.190
1.733 -6.456 6.467
-7.671 -6.173 -4.744
-2.969 -6.315 0.862
-6.006 0.704 3.586
4.383 -4.183 3.567
1.466 -7.004 1.533
-4.262 -5.655 -8.325
3.037 -7.019 -2.725
-5.705 -5.415 7.589
-1.856 -10.694 1.287
-5.619 -8.587 3.762
-8.608 -0.179 4.090
-1.640 -6.339 -1.595
-9.955 -3.043 3.951
-6.241 -1.578 1.993
-3.355 -8.921 -0.064
-11.313 -3.329 0.850
-2.550 -7.192 -4.507
-2.101 -6.027 -9.877
-3.441 -10.162 -2.978
-8.910 -3.848 -1.148
-7.134 -4.549 2.636
-11.934 -4.625 -5.388
1.424 -8.652 -4.316
-4.734 -2.819 -2.015
-0.505 -8.277 -8.318
-0.106 -4.897 5.284
0.294 -2.767 0.244
-6.521 -3.747 -4.826
-9.996 -6.149 -3.399
-1.989 -2.612 -3.583
-0.293 -11.235 -3.671
-5.034 -6.047 -1.000
-8.540 -8.058 0.273
-2.274 -8.256 7.765
-0.904 -6.582 2.723
2.602 -4.571 1.450
-3.664 -4.373 -6.042
4.058 -6.481 5.122
-5.645 -1.394 5.394
-3.950 -10.017 5.306
0.583 -8.882 6.549
-5.832 -7.733 -3.561
-6.232 -9.863 1.479
-5.433 -4.353 10.041
-7.362 -3.977 6.039
5.996 -8.004 7.112
-1.204 -9.810 3.739
-2.497 -2.467 4.701
2.972 -8.781 2.871
1.196 -8.080 -0.913
-3.837 -6.602 11.600
-3.388 -5.438 6.230
0.303 -11.051 -0.270
5.375 -9.300 0.873
-2.583 -3.708 1.787
4.017 -9.586 -2.228
-4.298 -6.291 3.318
2.670 -12.450 -2.367
```

Computed properties:
The spin magnetization is 0.0 μB/f.u. The space group is No. 230. The calculation puts the total DFT energy (no corrections) at -2.4440 eV per atom.

Entry 15:
OsPdSe2: optimized geometry, PBE.

```
OsPdSe2
1.0
1.713 5.106 5.781
3.578 6.379 2.990
0.092 7.166 3.327
Os Se Pd
1 2 1
Cartesian
2.691 9.325 6.049
4.813 16.678 10.819
0.569 1.973 1.280
0.000 0.000 0.000
```

Computed properties:
The spin magnetization is 0.0 μB/f.u. The space group is No. 166. For the uncorrected formation energy, the calculation gives 202 meV per atom. The energy above the lowest structure with this stoichiometry comes out at 0.10 eV/f.u.

Entry 16:
Nd5P12Ru19: optimized geometry, PBE.

```
Nd5P12Ru19
1.0
-12.178 -0.947 -3.217
8.035 -9.312 -2.877
-0.792 -1.770 3.518
Nd P Ru
5 12 19
Cartesian
1.083 -2.599 1.229
-3.776 -9.255 -3.214
-2.637 -1.059 1.167
-5.440 -3.735 -3.104
1.297 -6.524 -2.991
6.532 -7.570 -2.339
-0.775 -1.918 -1.140
-9.901 -0.770 -2.616
-7.484 -3.137 -0.970
-6.280 -6.548 -2.415
-3.744 -4.176 -0.650
3.104 -7.519 -0.792
-0.116 -9.099 -2.311
-0.284 -5.608 -0.592
3.012 -3.491 -1.079
-2.590 -6.413 -3.810
-4.565 -0.355 -1.206
4.458 -5.167 -1.597
-1.844 -4.566 -2.713
-6.757 -0.525 -1.785
5.350 -7.544 -0.299
-1.576 -3.807 0.023
-9.105 -1.562 -0.542
-8.338 -2.482 -3.126
-4.933 -6.563 -4.413
-3.050 -2.160 -1.773
4.232 -7.684 -2.914
-1.021 -8.182 -4.347
0.681 -3.704 -1.711
-8.108 -5.133 -2.114
-4.018 -6.218 -1.740
-5.383 -2.510 -0.181
2.168 -9.386 -1.941
-1.502 -7.259 -1.697
2.039 -5.581 -0.056
0.000 0.000 0.000
```

Computed properties:
The spin magnetization is 0.0 μB/f.u. The space group is No. 189. The calculation puts the total DFT energy (no corrections) at -8.1904 eV per atom.

Entry 17:
BeNbRh2Br: optimized geometry, PBE.

```
BeNbRh2Br
1.0
-3.844 -0.310 -2.791
0.645 -4.665 -0.369
-2.732 -0.682 3.838
Be Nb Rh Br
1 1 2 1
Cartesian
0.322 -2.333 -0.185
0.000 0.000 0.000
-1.366 -0.341 1.919
-1.922 -0.155 -1.396
-2.965 -2.828 0.339
```

Computed properties:
The spin magnetization is 0.0 μB/f.u. The space group is No. 123. For the uncorrected formation energy, the calculation gives 1196 meV per atom.

Entry 18:
SiOsOF2: optimized geometry, PBE.

```
SiOsOF2
1.0
-1.398 -0.194 4.203
-0.564 -4.380 -0.390
3.479 -0.549 1.132
Si Os O F
1 1 1 2
Cartesian
0.759 -2.562 2.472
0.000 0.000 0.000
1.740 -0.274 0.566
-0.282 -2.190 -0.195
-0.699 -0.097 2.101
```

Computed properties:
The spin magnetization is 0.0 μB/f.u. The space group is No. 123. For the uncorrected formation energy, the calculation gives -265 meV per atom. The energy above the lowest structure with this stoichiometry comes out at 0.00 eV/f.u.

Entry 19:
Ba3NpN4: optimized geometry, PBE.

```
Ba3NpN4
1.0
5.543 0.000 0.000
0.000 5.569 0.000
0.000 0.000 11.038
Np Ba N
2 6 8
Cartesian
0.184 1.261 0.000
2.955 4.308 5.519
3.080 4.151 0.000
0.290 4.194 2.762
3.061 1.375 2.757
0.308 1.417 5.519
3.061 1.375 8.282
0.290 4.194 8.276
0.331 4.734 0.000
3.624 1.312 0.000
0.300 1.406 2.009
3.072 4.163 3.511
0.853 4.257 5.519
3.102 0.835 5.519
3.072 4.163 7.528
0.300 1.406 9.030
```

Computed properties:
The spin magnetization is 1.0 μB/f.u. The space group is No. 31. For the uncorrected formation energy, the calculation gives -749 meV per atom.